Entry 1:
AcNd3Sb3 | PBE | optimized geometry

Cell and atoms, written as POSCAR:
```
AcNd3Sb3
1.0
-4.4933 3.8331 -0.1270
-4.1601 -5.1028 -6.8251
-1.8501 -1.8669 9.1114
Ac Nd Sb
2 6 6
Cartesian
-4.5134 -3.0659 -1.5447
-5.9901 -0.0707 3.7040
-5.6550 -4.2997 1.6039
-2.1964 -0.3537 -1.6648
-5.6889 -4.5442 -4.5731
-4.8485 1.1631 0.5554
-8.3071 -2.7829 3.8241
-4.8145 1.4076 6.7325
-7.0849 -1.4490 0.8396
-5.2278 0.6189 -2.4521
-7.9675 -2.6179 -3.2120
-3.4186 -1.6876 1.3197
-5.2757 -3.7555 4.6115
-2.5360 -0.5187 5.3713
```

Formation energy without anion corrections (eV per atom): -0.82
Excess energy over the best structure of this formula in the dataset (meV/atom): 213
E (eV for the cell shown): -73.1

Entry 2:
AcNd3Sb3 | PBE | optimized geometry

Cell and atoms, written as POSCAR:
```
AcNd3Sb3
1.0
-0.0369 -7.3118 -6.3187
9.5263 1.0344 -1.2526
1.6240 -6.2336 7.2038
Ac Nd Sb
4 12 12
Cartesian
6.9357 -5.7195 5.5472
1.5553 -10.2813 -1.8612
4.7817 -5.3830 -0.1581
8.9542 -3.6382 -4.2629
3.2929 -6.7866 -4.2524
10.2992 -11.5943 -0.3406
6.9653 -7.2909 -3.7273
8.2996 -2.4674 0.1133
1.9975 -2.2487 -0.0661
8.9062 -5.7304 1.8456
4.9934 -3.6679 3.1322
3.0524 -7.2325 3.6549
4.3580 -9.7520 1.2128
7.5821 -8.5355 -0.2507
1.3699 -6.7759 -0.6401
5.5645 -2.9839 -2.8866
5.8677 -4.8037 -5.4529
9.8684 -6.9263 -5.0717
8.0797 -3.1020 3.5120
5.1570 -1.9549 0.4811
1.9277 -4.8626 1.8130
10.0095 -7.0837 4.5511
3.7071 -12.5408 -0.2594
5.9985 -6.9910 2.4156
2.6250 -4.1132 -2.6152
1.2030 -9.1498 1.4399
4.4221 -8.2720 -1.6462
7.8152 -5.2659 -1.3724
```

Formation energy without anion corrections (eV per atom): -1.03
Excess energy over the best structure of this formula in the dataset (meV/atom): 0
E (eV for the cell shown): -152.1

Entry 3:
Ac2NdSb3 | PBE | optimized geometry

Cell and atoms, written as POSCAR:
```
Ac2NdSb3
1.0
-1.0940 8.0766 -0.3254
-4.9311 -4.9489 -4.2104
-2.7485 -1.4418 7.5486
Ac Nd Sb
4 2 6
Cartesian
-3.1077 5.1850 2.8015
-3.6520 -0.6071 -2.9154
-5.6580 -3.4723 0.2193
-4.3946 0.8165 1.4985
-7.6765 -6.3802 3.3413
-2.3761 3.7242 -1.6235
-7.3217 -0.8857 1.6430
-2.7309 -1.7703 0.0749
-5.9733 3.3691 2.9645
-3.5709 -0.2657 4.6147
-1.5507 2.5587 1.3135
-5.1733 2.0517 -1.5721
```

Formation energy without anion corrections (eV per atom): -1.19
Excess energy over the best structure of this formula in the dataset (meV/atom): 0
E (eV for the cell shown): -65.0

Entry 4:
AcNdSb | PBE | optimized geometry

Cell and atoms, written as POSCAR:
```
AcNdSb
1.0
5.4205 0.0000 0.0000
2.7102 4.6943 0.0000
2.7102 1.5648 4.4258
Sb Ac Nd
1 1 1
Cartesian
2.7102 1.5648 1.1065
5.4205 3.1295 2.2129
0.0000 0.0000 0.0000
```

Formation energy without anion corrections (eV per atom): -0.58
Excess energy over the best structure of this formula in the dataset (meV/atom): 229
E (eV for the cell shown): -14.7